No. 1
## ScMn4As (PBE-GGA)

Data for a relaxed ScMn4As crystal.

Properties
mass density	7.091	Mg/m³
symmetry	F-43m
energy relative to the elements	56	meV per atom
crystal system	cubic
density of states at the Fermi level	1.34	states/eV/atom
VASP energy	-47.32	eV/cell

Cell lengths 4.827, 4.827, 4.827 Å; angles 60.00, 60.00, 60.00 degrees
Fractional coordinates of all 6 atoms:
Mn: 0.374 0.374 0.879
Mn: 0.879 0.374 0.374
Mn: 0.374 0.374 0.374
Mn: 0.374 0.879 0.374
As: 0.000 0.000 0.000
Sc: 0.750 0.750 0.750

No. 2
## ScMn2As (PBE-GGA)

Data for a relaxed ScMn2As crystal.

Properties
mass density	5.617	Mg/m³
symmetry	P2/m
energy relative to the elements	-84	meV per atom
crystal system	monoclinic
density of states at the Fermi level	0.77	states/eV/atom
VASP energy	-29.66	eV/cell

Cell lengths 4.254, 3.136, 5.248 Å; angles 75.94, 90.00, 90.00 degrees
Fractional coordinates of all 4 atoms:
Mn: 0.000 0.884 0.984
Mn: 0.000 0.616 0.516
Sc: 0.500 0.250 0.250
As: 0.500 0.750 0.750

No. 3
## ScMnAs2 (PBE-GGA)

Data for a relaxed ScMnAs2 crystal.

Properties
mass density	5.588	Mg/m³
symmetry	R-3m
energy relative to the elements	-638	meV per atom
crystal system	trigonal
density of states at the Fermi level	0.59	states/eV/atom
VASP energy	-27.35	eV/cell
excess energy over the best structure of this formula in the dataset	30.1	meV per atom

Cell lengths 6.285, 6.285, 6.285 Å; angles 35.34, 35.34, 35.34 degrees
Fractional coordinates of all 4 atoms:
Mn: 0.250 0.250 0.250
Sc: 0.750 0.750 0.750
As: 0.508 0.508 0.508
As: 0.992 0.992 0.992

No. 4
## ScMnAs2 (PBE-GGA)

Data for a relaxed ScMnAs2 crystal.

Properties
mass density	5.687	Mg/m³
symmetry	P2/m
energy relative to the elements	-427	meV per atom
crystal system	monoclinic
density of states at the Fermi level	0.61	states/eV/atom
VASP energy	-26.51	eV/cell
excess energy over the best structure of this formula in the dataset	241.0	meV per atom

Cell lengths 3.641, 3.241, 6.249 Å; angles 81.51, 90.00, 90.00 degrees
Fractional coordinates of all 4 atoms:
As: 0.000 0.085 0.002
As: 0.000 0.415 0.498
Mn: 0.500 0.250 0.250
Sc: 0.500 0.750 0.750